## Pr4Sc (PBE)

Data for a relaxed structure of Pr4Sc.

a b c (Å): 4.5956 4.5956 17.1230
angles (deg): 90.00 90.00 90.00
Last column: nearest neighbours and their distance in Å.
Fractional positions:
Pr 0.0000 0.0000 0.0901  1 Pr 3.09
Pr 0.0000 0.0000 0.9099  1 Pr 3.09
Pr 0.0000 0.5000 0.2500  8 Pr 3.25-3.57
Pr 0.0000 0.5000 0.7500  8 Pr 3.25-3.57
Pr 0.5000 0.0000 0.2500  8 Pr 3.25-3.57
Pr 0.5000 0.0000 0.7500  8 Pr 3.25-3.57
Pr 0.5000 0.5000 0.4099  1 Pr 3.09
Pr 0.5000 0.5000 0.5901  1 Pr 3.09
Sc 0.0000 0.0000 0.5000  8 Pr 3.60
Sc 0.5000 0.5000 0.0000  8 Pr 3.60

* DOS(E_F): 1.798 states/eV/atom
* energy relative to the lowest polymorph listed for this composition: 384 meV per atom
* calculated formation energy: 0.425 eV per atom
* uncorrected energy: -4.665 eV per atom
* mass density: 5.59 g/cm3
* volume: 361.6 Å³ per cell

=====

## PrSc2 (PBE)

Data for a relaxed structure of PrSc2.

a b c (Å): 6.6706 6.6653 7.9623
angles (deg): 90.00 102.16 90.00
Last column: nearest neighbours and their distance in Å.
Fractional positions:
Pr 0.0828 0.0000 0.3087  9 Sc 3.28-3.42, 1 Pr 3.45
Pr 0.4172 0.5000 0.6913  9 Sc 3.28-3.42, 1 Pr 3.45
Pr 0.5828 0.5000 0.3087  9 Sc 3.28-3.42, 1 Pr 3.45
Pr 0.9172 0.0000 0.6913  9 Sc 3.28-3.42, 1 Pr 3.45
Sc 0.0740 0.5000 0.3064  5 Pr 3.28-3.42, 5 Sc 3.34-3.43
Sc 0.2500 0.2500 0.0000  8 Sc 3.33-3.36, 4 Pr 3.35-3.38
Sc 0.2500 0.7500 0.0000  8 Sc 3.33-3.36, 4 Pr 3.35-3.38
Sc 0.4260 0.0000 0.6936  5 Pr 3.28-3.42, 5 Sc 3.34-3.43
Sc 0.5740 0.0000 0.3064  5 Pr 3.28-3.42, 5 Sc 3.34-3.43
Sc 0.7500 0.2500 0.0000  8 Sc 3.33-3.36, 4 Pr 3.35-3.38
Sc 0.7500 0.7500 0.0000  8 Sc 3.33-3.36, 4 Pr 3.35-3.38
Sc 0.9260 0.5000 0.6936  5 Pr 3.28-3.42, 5 Sc 3.34-3.43

* DOS(E_F): 1.774 states/eV/atom
* energy relative to the lowest polymorph listed for this composition: 110 meV per atom
* calculated formation energy: 0.180 eV per atom
* uncorrected energy: -5.634 eV per atom
* mass density: 4.43 g/cm3
* volume: 346.1 Å³ per cell

=====

## Pr13Sc3 (PBE)

Data for a relaxed structure of Pr13Sc3.

a b c (Å): 10.2641 7.2476 7.2476
angles (deg): 89.80 90.00 90.00
Last column: nearest neighbours and their distance in Å.
Fractional positions:
Pr 0.0000 0.0000 0.0000  10 Pr 3.52-3.72, 2 Sc 3.58
Pr 0.0000 0.9997 0.4861  10 Pr 3.52-3.72, 2 Sc 3.61
Pr 0.0000 0.4861 0.9997  10 Pr 3.52-3.72, 2 Sc 3.61
Pr 0.0000 0.4871 0.4871  10 Pr 3.53-3.72, 2 Sc 3.66
Pr 0.2526 0.7464 0.7464  11 Pr 3.58-3.72, 1 Sc 3.65
Pr 0.2555 0.2400 0.7475  3 Sc 3.56-3.69, 9 Pr 3.58-3.69
Pr 0.2555 0.7475 0.2400  3 Sc 3.56-3.69, 9 Pr 3.58-3.69
Pr 0.5000 0.4849 0.9991  4 Sc 3.50-3.75, 8 Pr 3.53-3.72
Pr 0.5000 0.4859 0.4859  10 Pr 3.53-3.72, 2 Sc 3.57
Pr 0.5000 0.9991 0.4849  4 Sc 3.50-3.75, 8 Pr 3.53-3.72
Pr 0.7445 0.2400 0.7475  3 Sc 3.56-3.69, 9 Pr 3.58-3.69
Pr 0.7445 0.7475 0.2400  3 Sc 3.56-3.69, 9 Pr 3.58-3.69
Pr 0.7474 0.7464 0.7464  11 Pr 3.58-3.72, 1 Sc 3.65
Sc 0.2553 0.2381 0.2381  1 Sc 3.49, 11 Pr 3.53-3.69
Sc 0.5000 0.0021 0.0021  2 Sc 3.49, 10 Pr 3.50-3.75
Sc 0.7447 0.2381 0.2381  1 Sc 3.49, 11 Pr 3.53-3.69

* DOS(E_F): 1.326 states/eV/atom
* calculated formation energy: 0.039 eV per atom
* uncorrected energy: -5.032 eV per atom
* mass density: 6.06 g/cm3
* volume: 539.2 Å³ per cell

=====

## Pr6Sc (PBE)

Data for a relaxed structure of Pr6Sc.

a b c (Å): 6.5814 6.5814 11.5473
angles (deg): 90.00 90.00 90.00
Last column: nearest neighbours and their distance in Å.
Fractional positions:
Pr 0.0804 0.5804 0.1396  5 Pr 3.16-3.46
Pr 0.0804 0.9196 0.8604  5 Pr 3.16-3.46
Pr 0.2500 0.2500 0.3660  1 Pr 3.10
Pr 0.2500 0.2500 0.6340  1 Pr 3.10
Pr 0.4196 0.5804 0.8604  5 Pr 3.16-3.46
Pr 0.4196 0.9196 0.1396  5 Pr 3.16-3.46
Pr 0.5804 0.0804 0.8604  5 Pr 3.16-3.46
Pr 0.5804 0.4196 0.1396  5 Pr 3.16-3.46
Pr 0.7500 0.7500 0.3660  1 Pr 3.10
Pr 0.7500 0.7500 0.6340  1 Pr 3.10
Pr 0.9196 0.0804 0.1396  5 Pr 3.16-3.46
Pr 0.9196 0.4196 0.8604  5 Pr 3.16-3.46
Sc 0.2500 0.7500 0.5000  8 Pr 3.64
Sc 0.7500 0.2500 0.5000  8 Pr 3.64

* DOS(E_F): 1.218 states/eV/atom
* energy relative to the lowest polymorph listed for this composition: 0 meV per atom
* calculated formation energy: 0.289 eV per atom
* uncorrected energy: -4.713 eV per atom
* mass density: 5.91 g/cm3
* volume: 500.2 Å³ per cell

=====

## Pr3Sc (PBE)

Data for a relaxed structure of Pr3Sc.

a b c (Å): 4.9680 22.6306 4.9320
angles (deg): 90.00 90.00 90.00
Last column: nearest neighbours and their distance in Å.
Fractional positions:
Pr 0.0000 0.0618 0.2500  2 Sc 3.43, 10 Pr 3.50-3.78
Pr 0.0000 0.3145 0.7500  5 Sc 3.34-3.53, 2 Pr 3.69
Pr 0.0000 0.4357 0.2500  2 Sc 3.40, 8 Pr 3.50-3.78
Pr 0.0000 0.5643 0.7500  2 Sc 3.40, 8 Pr 3.50-3.78
Pr 0.0000 0.6855 0.2500  5 Sc 3.34-3.53, 2 Pr 3.69
Pr 0.0000 0.9382 0.7500  2 Sc 3.43, 10 Pr 3.50-3.78
Pr 0.5000 0.0643 0.7500  2 Sc 3.40, 8 Pr 3.50-3.78
Pr 0.5000 0.1855 0.2500  5 Sc 3.34-3.53, 2 Pr 3.69
Pr 0.5000 0.4382 0.7500  2 Sc 3.43, 10 Pr 3.50-3.78
Pr 0.5000 0.5618 0.2500  2 Sc 3.43, 10 Pr 3.50-3.78
Pr 0.5000 0.8145 0.7500  5 Sc 3.34-3.53, 2 Pr 3.69
Pr 0.5000 0.9357 0.2500  2 Sc 3.40, 8 Pr 3.50-3.78
Sc 0.0000 0.1669 0.7500  9 Pr 3.34-3.53
Sc 0.0000 0.8331 0.2500  9 Pr 3.34-3.53
Sc 0.5000 0.3331 0.2500  9 Pr 3.34-3.53
Sc 0.5000 0.6669 0.7500  9 Pr 3.34-3.53

* DOS(E_F): 1.775 states/eV/atom
* energy relative to the lowest polymorph listed for this composition: 176 meV per atom
* calculated formation energy: 0.214 eV per atom
* uncorrected energy: -4.953 eV per atom
* mass density: 5.60 g/cm3
* volume: 554.5 Å³ per cell

=====

## Pr2Sc3 (PBE)

Data for a relaxed structure of Pr2Sc3.

a b c (Å): 6.8503 8.9417 9.6519
angles (deg): 90.00 90.00 90.00
Last column: nearest neighbours and their distance in Å.
Fractional positions:
Pr 0.1185 0.1903 0.0992  8 Sc 3.33-3.56, 1 Pr 3.33
Pr 0.1185 0.8097 0.5992  8 Sc 3.33-3.56, 1 Pr 3.33
Pr 0.3815 0.3097 0.5992  8 Sc 3.33-3.56, 1 Pr 3.33
Pr 0.3815 0.6903 0.0992  8 Sc 3.33-3.56, 1 Pr 3.33
Pr 0.6185 0.3097 0.9008  8 Sc 3.33-3.56, 1 Pr 3.33
Pr 0.6185 0.6903 0.4008  8 Sc 3.33-3.56, 1 Pr 3.33
Pr 0.8815 0.1903 0.4008  8 Sc 3.33-3.56, 1 Pr 3.33
Pr 0.8815 0.8097 0.9008  8 Sc 3.33-3.56, 1 Pr 3.33
Sc 0.0000 0.1471 0.7500  4 Sc 3.13-3.27, 6 Pr 3.33-3.49
Sc 0.0000 0.8529 0.2500  4 Sc 3.13-3.27, 6 Pr 3.33-3.49
Sc 0.1442 0.4701 0.8713  4 Sc 3.06-3.27, 3 Pr 3.34-3.41
Sc 0.1442 0.5299 0.3713  4 Sc 3.06-3.27, 3 Pr 3.34-3.41
Sc 0.3558 0.0299 0.3713  4 Sc 3.06-3.27, 3 Pr 3.34-3.41
Sc 0.3558 0.9701 0.8713  4 Sc 3.06-3.27, 3 Pr 3.34-3.41
Sc 0.5000 0.3529 0.2500  4 Sc 3.13-3.27, 6 Pr 3.33-3.49
Sc 0.5000 0.6471 0.7500  4 Sc 3.13-3.27, 6 Pr 3.33-3.49
Sc 0.6442 0.0299 0.1287  4 Sc 3.06-3.27, 3 Pr 3.34-3.41
Sc 0.6442 0.9701 0.6287  4 Sc 3.06-3.27, 3 Pr 3.34-3.41
Sc 0.8558 0.4701 0.6287  4 Sc 3.06-3.27, 3 Pr 3.34-3.41
Sc 0.8558 0.5299 0.1287  4 Sc 3.06-3.27, 3 Pr 3.34-3.41

* DOS(E_F): 1.655 states/eV/atom
* calculated formation energy: 0.156 eV per atom
* uncorrected energy: -5.555 eV per atom
* mass density: 4.68 g/cm3
* volume: 591.2 Å³ per cell

=====

## Pr3Sc (PBE)

Data for a relaxed structure of Pr3Sc.

a b c (Å): 3.4640 3.5083 11.2101
angles (deg): 90.00 90.00 90.00
Last column: nearest neighbours and their distance in Å.
Fractional positions:
Pr 0.0000 0.0000 0.0000  10 Pr 3.46-3.68
Pr 0.0000 0.5000 0.2848  4 Sc 3.45, 6 Pr 3.46-3.64
Pr 0.5000 0.5000 0.7566  2 Sc 3.36, 8 Pr 3.46-3.68
Sc 0.5000 0.0000 0.5004  6 Pr 3.36-3.45, 4 Sc 3.46-3.51

* DOS(E_F): 1.962 states/eV/atom
* energy relative to the lowest polymorph listed for this composition: 194 meV per atom
* calculated formation energy: 0.233 eV per atom
* uncorrected energy: -4.935 eV per atom
* mass density: 5.70 g/cm3
* volume: 136.2 Å³ per cell

=====

## PrSc2 (PBE)

Data for a relaxed structure of PrSc2.

a b c (Å): 3.8243 3.8243 11.6088
angles (deg): 90.00 90.00 90.00
Last column: nearest neighbours and their distance in Å.
Fractional positions:
Pr 0.0000 0.0000 0.0000  10 Sc 3.42-3.71, 4 Pr 3.82
Pr 0.5000 0.5000 0.5000  10 Sc 3.42-3.71, 4 Pr 3.82
Sc 0.0000 0.0000 0.3196  4 Sc 3.15, 4 Pr 3.42
Sc 0.0000 0.0000 0.6804  4 Sc 3.15, 4 Pr 3.42
Sc 0.5000 0.5000 0.1804  4 Sc 3.15, 4 Pr 3.42
Sc 0.5000 0.5000 0.8196  4 Sc 3.15, 4 Pr 3.42

* DOS(E_F): 1.581 states/eV/atom
* energy relative to the lowest polymorph listed for this composition: 17 meV per atom
* calculated formation energy: 0.087 eV per atom
* uncorrected energy: -5.727 eV per atom
* mass density: 4.52 g/cm3
* volume: 169.8 Å³ per cell

=====

## PrSc5 (PBE)

Data for a relaxed structure of PrSc5.

a b c (Å): 5.7473 9.9805 5.7660
angles (deg): 90.00 109.16 90.00
Last column: nearest neighbours and their distance in Å.
Fractional positions:
Pr 0.2491 0.2500 0.0001  12 Sc 3.32-3.34
Pr 0.7509 0.7500 0.9999  12 Sc 3.32-3.34
Sc 0.2498 0.0807 0.5000  10 Sc 3.29-3.38, 2 Pr 3.34
Sc 0.2498 0.4193 0.5000  10 Sc 3.29-3.38, 2 Pr 3.34
Sc 0.2504 0.5827 0.0004  9 Sc 3.31-3.34, 3 Pr 3.32-3.33
Sc 0.2504 0.9173 0.0004  9 Sc 3.31-3.34, 3 Pr 3.32-3.33
Sc 0.2506 0.7500 0.5005  10 Sc 3.30-3.33, 2 Pr 3.34
Sc 0.7494 0.2500 0.4995  10 Sc 3.30-3.33, 2 Pr 3.34
Sc 0.7496 0.0827 0.9996  9 Sc 3.31-3.34, 3 Pr 3.32-3.33
Sc 0.7496 0.4173 0.9996  9 Sc 3.31-3.34, 3 Pr 3.32-3.33
Sc 0.7502 0.5807 0.5000  10 Sc 3.29-3.38, 2 Pr 3.34
Sc 0.7502 0.9193 0.5000  10 Sc 3.29-3.38, 2 Pr 3.34

* DOS(E_F): 1.560 states/eV/atom
* energy relative to the lowest polymorph listed for this composition: 25 meV per atom
* calculated formation energy: 0.060 eV per atom
* uncorrected energy: -6.013 eV per atom
* mass density: 3.89 g/cm3
* volume: 312.4 Å³ per cell

=====

## PrSc3 (PBE)

Data for a relaxed structure of PrSc3.

a b c (Å): 3.4343 5.3621 5.9295
angles (deg): 90.00 90.00 90.00
Last column: nearest neighbours and their distance in Å.
Fractional positions:
Pr 0.0000 0.0000 0.0000  10 Sc 3.35-3.46, 2 Pr 3.43
Sc 0.0000 0.5000 0.6572  10 Sc 3.33-3.52, 2 Pr 3.36
Sc 0.5000 0.0000 0.4939  8 Sc 3.28-3.43, 4 Pr 3.39-3.46
Sc 0.5000 0.5000 0.1756  8 Sc 3.28-3.52, 4 Pr 3.35

* DOS(E_F): 1.932 states/eV/atom
* energy relative to the lowest polymorph listed for this composition: 20 meV per atom
* calculated formation energy: 0.066 eV per atom
* uncorrected energy: -5.878 eV per atom
* mass density: 4.19 g/cm3
* volume: 109.2 Å³ per cell

=====

## Pr3Sc (PBE)

Data for a relaxed structure of Pr3Sc.

a b c (Å): 7.3079 7.3079 5.7852
angles (deg): 90.00 90.00 120.00
Last column: nearest neighbours and their distance in Å.
Fractional positions:
Pr 0.1708 0.3416 0.2500  4 Sc 3.55-3.65, 8 Pr 3.56-3.74
Pr 0.1708 0.8292 0.2500  4 Sc 3.55-3.65, 8 Pr 3.56-3.74
Pr 0.3416 0.1708 0.7500  4 Sc 3.55-3.65, 8 Pr 3.56-3.74
Pr 0.6584 0.8292 0.2500  4 Sc 3.55-3.65, 8 Pr 3.56-3.74
Pr 0.8292 0.1708 0.7500  4 Sc 3.55-3.65, 8 Pr 3.56-3.74
Pr 0.8292 0.6584 0.7500  4 Sc 3.55-3.65, 8 Pr 3.56-3.74
Sc 0.3333 0.6667 0.7500  12 Pr 3.55-3.65
Sc 0.6667 0.3333 0.2500  12 Pr 3.55-3.65

* DOS(E_F): 1.793 states/eV/atom
* energy relative to the lowest polymorph listed for this composition: 15 meV per atom
* calculated formation energy: 0.053 eV per atom
* uncorrected energy: -5.115 eV per atom
* mass density: 5.80 g/cm3
* volume: 267.6 Å³ per cell

=====

## Pr6Sc (PBE)

Data for a relaxed structure of Pr6Sc.

a b c (Å): 8.2824 8.2824 8.2824
angles (deg): 90.00 90.00 90.00
Last column: nearest neighbours and their distance in Å.
Fractional positions:
Pr 0.0000 0.2500 0.5000  4 Pr 2.93
Pr 0.0000 0.5000 0.2500  4 Pr 2.93
Pr 0.0000 0.5000 0.7500  4 Pr 2.93
Pr 0.0000 0.7500 0.5000  4 Pr 2.93
Pr 0.2500 0.0000 0.5000  4 Pr 2.93
Pr 0.2500 0.5000 0.0000  4 Pr 2.93
Pr 0.5000 0.0000 0.2500  4 Pr 2.93
Pr 0.5000 0.0000 0.7500  4 Pr 2.93
Pr 0.5000 0.2500 0.0000  4 Pr 2.93
Pr 0.5000 0.7500 0.0000  4 Pr 2.93
Pr 0.7500 0.0000 0.5000  4 Pr 2.93
Pr 0.7500 0.5000 0.0000  4 Pr 2.93
Sc 0.0000 0.0000 0.0000  24 Pr 4.63
Sc 0.5000 0.5000 0.5000  24 Pr 4.63

* DOS(E_F): 0.936 states/eV/atom
* energy relative to the lowest polymorph listed for this composition: 1075 meV per atom
* calculated formation energy: 1.364 eV per atom
* uncorrected energy: -3.637 eV per atom
* mass density: 5.20 g/cm3
* volume: 568.2 Å³ per cell

=====

What is the formula in the third record? Pr13Sc3